(1)
Entry from OQMD: an optimized crystal structure of Lu2Sc2In5Cu2 (PBE).

abc: 7.5725 3.4491 9.2848
angles: 90.00 94.42 90.00
Space group P2/m (No. 10)
Symmetry-distinct sites (fractional):
Lu: 0.2176 0.0000 0.4315 [2 per cell]
Sc: 0.1931 0.0000 0.8524 [2 per cell]
In: 0.1469 0.5000 0.1361 [2 per cell]
In: 0.4531 0.5000 0.6730 [2 per cell]
In: 0.5000 0.5000 0.0000 [1 per cell]
Cu: 0.0740 0.5000 0.6321 [2 per cell]

Total energy (eV/atom): -4.26
Crystal system: monoclinic
Volume (Å³/f.u.): 241.8

=====

(2)
Entry from OQMD: an optimized crystal structure of LuInCuSe3 (PBE).

abc: 3.9070 13.7282 10.4700
angles: 90.00 90.00 90.00
Space group Cmcm (No. 63)
Symmetry-distinct sites (fractional):
Lu: 0.0000 0.0000 0.0000 [4 per cell]
In: 0.0000 0.2444 0.2500 [4 per cell]
Cu: 0.0000 0.4714 0.7500 [4 per cell]
Se: 0.0000 0.0821 0.7500 [4 per cell]
Se: 0.0000 0.3622 0.5657 [8 per cell]

Total energy (eV/atom): -4.47
Crystal system: orthorhombic
Volume (Å³/f.u.): 140.4

=====

(3)
Entry from OQMD: an optimized crystal structure of Tm2Lu2In5Cu2 (PBE).

abc: 7.6446 3.5546 9.4090
angles: 90.00 94.39 90.00
Space group P2/m (No. 10)
Symmetry-distinct sites (fractional):
Tm: 0.1882 0.0000 0.3523 [2 per cell]
Lu: 0.2175 0.0000 0.9349 [2 per cell]
In: 0.1590 0.5000 0.6454 [2 per cell]
In: 0.4554 0.5000 0.1686 [2 per cell]
In: 0.5000 0.5000 0.5000 [1 per cell]
Cu: 0.0705 0.5000 0.1284 [2 per cell]

Total energy (eV/atom): -3.93
Crystal system: monoclinic
Volume (Å³/f.u.): 254.9

=====

Among the records above, which one has the lowest volume? LuInCuSe3